Material: ZnCoNiIr
Method: DFT, GGA-PBE
State: optimized geometry

a = 4.1578 Å, b = 4.1578 Å, c = 4.1578 Å
α = 60.00°, β = 60.00°, γ = 60.00°
Closest atoms and distances in Å follow each position.
Sites, in units of the cell vectors:
Ni 0.5000 0.5000 0.5000  4 Co 2.55, 4 Zn 2.55
Zn 0.2500 0.2500 0.2500  4 Ni 2.55, 4 Ir 2.55
Ir 0.0000 0.0000 0.0000  4 Zn 2.55, 4 Co 2.55
Co 0.7500 0.7500 0.7500  4 Ir 2.55, 4 Ni 2.55

Computed properties:
energy relative to the elements = 0.011 eV per atom